1.
ZnAg2Pt: relaxed, GGA-PBE.

It has space group Cmmm (No. 65), with a = 5.5365 Å, b = 8.3029 Å, c = 2.8579 Å, α = 90.00°, β = 90.00° and γ = 90.00°. The inequivalent atoms are Zn at (0.0000, 0.0000, 0.0000), Ag at (0.2500, 0.2500, 0.5000) and Pt at (0.0000, 0.5000, 0.0000).

Its total energy is -3.329 eV/atom. The volume is 131.4 Å³ per cell. The calculated formation energy is -0.07 eV/atom.


2.
GdErSiAu: relaxed, GGA-PBE.

It has space group F-43m (No. 216), with a = 7.1322 Å, b = 7.1322 Å, c = 7.1322 Å, α = 90.00°, β = 90.00° and γ = 90.00°. The inequivalent atoms are Gd at (0.0000, 0.0000, 0.0000), Er at (0.0000, 0.0000, 0.5000), Si at (0.2500, 0.2500, 0.7500) and Au at (0.2500, 0.2500, 0.2500).

The energy relative to the elements, uncorrected comes out at -0.673 eV/atom. Its total energy is -7.509 eV/atom. The volume is 362.8 Å³ per cell.


3.
AlZnNiPd: relaxed, GGA-PBE.

It has space group P4mm (No. 99), with a = 3.0092 Å, b = 3.0092 Å, c = 5.8913 Å, α = 90.00°, β = 90.00° and γ = 90.00°. The inequivalent atoms are Al at (0.0000, 0.0000, 0.0000), Zn at (0.0000, 0.0000, 0.5395), Ni at (0.5000, 0.5000, 0.7757) and Pd at (0.5000, 0.5000, 0.2602).

Its total energy is -4.580 eV/atom. The volume is 53.3 Å³ per cell. As for the offset from the most stable computed form: 0 meV/atom. The calculated formation energy is -0.58 eV/atom.


4.
Mg14NiBi: relaxed, GGA-PBE.

It has space group P-6m2 (No. 187), with a = 6.3258 Å, b = 6.3258 Å, c = 10.1587 Å, α = 90.00°, β = 90.00° and γ = 120.00°. The inequivalent atoms are Mg at (0.0000, 0.0000, 0.2460), Mg at (0.0070, 0.5035, 0.2688), Mg at (0.3253, 0.1626, 0.5000), Mg at (0.3380, 0.1690, 0.0000), Ni at (0.3333, 0.6667, 0.5000) and Bi at (0.3333, 0.6667, 0.0000).

Its total energy is -2.002 eV/atom. The volume is 352.0 Å³ per cell. As for the offset from the most stable computed form: 0 meV/atom. The calculated formation energy is 0.00 eV/atom.


5.
BC2: relaxed, GGA-PBE.

It has space group P3m1 (No. 156), with a = 2.5941 Å, b = 2.5941 Å, c = 13.1256 Å, α = 90.00°, β = 90.00° and γ = 120.00°. The inequivalent atoms are B at (0.0000, 0.0000, 0.0000), B at (0.0000, 0.0000, 0.3829), B at (0.3333, 0.6667, 0.6736), B at (0.6667, 0.3333, 0.2169), C at (0.0000, 0.0000, 0.5137), C at (0.0000, 0.0000, 0.8775), C at (0.3333, 0.6667, 0.0544), C at (0.3333, 0.6667, 0.1622), C at (0.3333, 0.6667, 0.5452), C at (0.6667, 0.3333, 0.3375), C at (0.6667, 0.3333, 0.7210) and C at (0.6667, 0.3333, 0.8368).

Its total energy is -8.046 eV/atom. The volume is 76.5 Å³ per cell. As for the offset from the most stable computed form: 89 meV/atom. The calculated formation energy is 0.33 eV/atom.


6.
Y3P: relaxed, GGA-PBE.

It has space group Pmmn (No. 59, origin choice 2), with a = 3.7556 Å, b = 6.1595 Å, c = 9.3649 Å, α = 90.00°, β = 90.00° and γ = 90.00°. The inequivalent atoms are Y at (0.2500, 0.0081, 0.1662), Y at (0.2500, 0.2500, 0.5608) and P at (0.2500, 0.7500, 0.6597).

Its total energy is -6.812 eV/atom. The volume is 216.6 Å³ per cell. As for the offset from the most stable computed form: 94 meV/atom. The calculated formation energy is -0.61 eV/atom.


What did the fifth record say?
BC2: relaxed, GGA-PBE.

It has space group P3m1 (No. 156), with a = 2.5941 Å, b = 2.5941 Å, c = 13.1256 Å, α = 90.00°, β = 90.00° and γ = 120.00°. The inequivalent atoms are B at (0.0000, 0.0000, 0.0000), B at (0.0000, 0.0000, 0.3829), B at (0.3333, 0.6667, 0.6736), B at (0.6667, 0.3333, 0.2169), C at (0.0000, 0.0000, 0.5137), C at (0.0000, 0.0000, 0.8775), C at (0.3333, 0.6667, 0.0544), C at (0.3333, 0.6667, 0.1622), C at (0.3333, 0.6667, 0.5452), C at (0.6667, 0.3333, 0.3375), C at (0.6667, 0.3333, 0.7210) and C at (0.6667, 0.3333, 0.8368).

Its total energy is -8.046 eV/atom. The volume is 76.5 Å³ per cell. As for the offset from the most stable computed form: 89 meV/atom. The calculated formation energy is 0.33 eV/atom.